# 1
Crystalline HfVSe2N at its relaxed geometry, computed with PBE-GGA.

a b c (Å): 5.2411 5.2411 3.9872
angles (deg): 90.00 90.00 90.00
Last column: nearest neighbours and their distance in Å.
Fractional positions:
Hf: 0.0000 0.0000 0.0000  2 N 1.99
V: 0.5000 0.5000 0.5000  8 Se 3.29
Se: 0.0000 0.5000 0.0000  2 Hf 2.62
Se: 0.5000 0.0000 0.0000  2 Hf 2.62
N: 0.0000 0.0000 0.5000  2 Hf 1.99

Results
polymorph energy (0 for the lowest one)	1.24	eV per formula unit
magnetic moment	2.3	μB per cell
raw formation energy	30	meV/atom



# 2
Crystalline Ac2ScTc2N6 at its relaxed geometry, computed with PBE-GGA.

a b c (Å): 6.8946 6.8946 6.8946
angles (deg): 49.68 49.68 49.68
Last column: nearest neighbours and their distance in Å.
Fractional positions:
Ac: 0.2114 0.2114 0.2114  9 N 2.72-2.95
Ac: 0.7886 0.7886 0.7886  9 N 2.72-2.95
Sc: 0.0000 0.0000 0.0000  6 N 2.29
Tc: 0.3957 0.3957 0.3957  3 N 1.81
Tc: 0.6043 0.6043 0.6043  3 N 1.81
N: 0.2308 0.7496 0.7496  1 Tc 1.81
N: 0.2504 0.2504 0.7692  1 Tc 1.81
N: 0.2504 0.7692 0.2504  1 Tc 1.81
N: 0.7496 0.2308 0.7496  1 Tc 1.81
N: 0.7496 0.7496 0.2308  1 Tc 1.81
N: 0.7692 0.2504 0.2504  1 Tc 1.81

Results
magnetic moment	0.0	μB per cell
raw formation energy	-673	meV/atom



# 3
Crystalline SrDyHg6 at its relaxed geometry, computed with PBE-GGA.

a b c (Å): 9.3128 9.3128 9.3128
angles (deg): 37.80 37.80 37.80
Last column: nearest neighbours and their distance in Å.
Fractional positions:
Sr: 0.0000 0.0000 0.0000  6 Hg 3.31
Dy: 0.5000 0.5000 0.5000  12 Hg 3.38
Hg: 0.0604 0.0604 0.5546  5 Hg 2.98-3.05, 1 Sr 3.31
Hg: 0.0604 0.5546 0.0604  5 Hg 2.98-3.05, 1 Sr 3.31
Hg: 0.4454 0.9396 0.9396  5 Hg 2.98-3.05, 1 Sr 3.31
Hg: 0.5546 0.0604 0.0604  5 Hg 2.98-3.05, 1 Sr 3.31
Hg: 0.9396 0.4454 0.9396  5 Hg 2.98-3.05, 1 Sr 3.31
Hg: 0.9396 0.9396 0.4454  5 Hg 2.98-3.05, 1 Sr 3.31

Results
magnetic moment	0.0	μB per cell



# 4
Crystalline TlCo2Sb at its relaxed geometry, computed with PBE-GGA.

a b c (Å): 5.7861 5.7861 5.7861
angles (deg): 106.23 106.23 116.16
Last column: nearest neighbours and their distance in Å.
Fractional positions:
Tl: 0.0000 0.0000 0.0000  4 Co 2.70
Tl: 0.7500 0.2500 0.5000  4 Co 2.70
Co: 0.1521 0.6250 0.0271  2 Sb 2.45, 2 Tl 2.70
Co: 0.3750 0.4021 0.5271  2 Sb 2.45, 2 Tl 2.70
Co: 0.5979 0.1250 0.9729  2 Sb 2.45, 2 Tl 2.70
Co: 0.8750 0.8479 0.4729  2 Sb 2.45, 2 Tl 2.70
Sb: 0.2500 0.7500 0.5000  4 Co 2.45
Sb: 0.5000 0.5000 0.0000  4 Co 2.45

Results
polymorph energy (0 for the lowest one)	1.56	eV per formula unit
magnetic moment	0.0	μB per cell
raw formation energy	641	meV/atom



# 5
Crystalline InPW2 at its relaxed geometry, computed with PBE-GGA.

a b c (Å): 4.4983 4.4983 4.4983
angles (deg): 60.00 60.00 60.00
Last column: nearest neighbours and their distance in Å.
Fractional positions:
In: 0.0000 0.0000 0.0000  8 W 2.75
P: 0.5000 0.5000 0.5000  8 W 2.75
W: 0.2500 0.2500 0.2500  4 P 2.75, 4 In 2.75
W: 0.7500 0.7500 0.7500  4 P 2.75, 4 In 2.75

Results
polymorph energy (0 for the lowest one)	2.48	eV per formula unit
magnetic moment	0.0	μB per cell



# 6
Crystalline VCrH2 at its relaxed geometry, computed with PBE-GGA.

a b c (Å): 4.9013 4.9013 4.9013
angles (deg): 132.48 132.48 69.48
Last column: nearest neighbours and their distance in Å.
Fractional positions:
V: 0.0000 0.0000 0.0000  4 H 1.75
V: 0.7500 0.2500 0.5000  4 H 1.75
Cr: 0.2500 0.7500 0.5000  4 H 1.69
Cr: 0.5000 0.5000 0.0000  4 H 1.69
H: 0.1375 0.6250 0.0125  2 Cr 1.69, 2 V 1.75
H: 0.3750 0.3875 0.5125  2 Cr 1.69, 2 V 1.75
H: 0.6125 0.1250 0.9875  2 Cr 1.69, 2 V 1.75
H: 0.8750 0.8625 0.4875  2 Cr 1.69, 2 V 1.75

Results
polymorph energy (0 for the lowest one)	0.40	eV per formula unit
magnetic moment	0.0	μB per cell



# 7
Crystalline La3PmNd3Te8 at its relaxed geometry, computed with PBE-GGA.

a b c (Å): 9.0678 9.0678 9.0678
angles (deg): 59.63 59.63 59.63
Last column: nearest neighbours and their distance in Å.
Fractional positions:
La: 0.0000 0.5000 0.5000  6 Te 3.22
La: 0.5000 0.0000 0.5000  6 Te 3.22
La: 0.5000 0.5000 0.0000  6 Te 3.22
Pm: 0.5000 0.5000 0.5000  6 Te 3.23
Nd: 0.0000 0.0000 0.5000  6 Te 3.18
Nd: 0.0000 0.5000 0.0000  6 Te 3.18
Nd: 0.5000 0.0000 0.0000  6 Te 3.18
Te: 0.2446 0.7522 0.7522  2 Nd 3.18, 2 La 3.22, 1 Pm 3.23
Te: 0.2485 0.2485 0.2485  3 Nd 3.18, 3 La 3.22
Te: 0.2478 0.2478 0.7554  2 Nd 3.18, 2 La 3.22, 1 Pm 3.23
Te: 0.2478 0.7554 0.2478  2 Nd 3.18, 2 La 3.22, 1 Pm 3.23
Te: 0.7522 0.2446 0.7522  2 Nd 3.18, 2 La 3.22, 1 Pm 3.23
Te: 0.7522 0.7522 0.2446  2 Nd 3.18, 2 La 3.22, 1 Pm 3.23
Te: 0.7515 0.7515 0.7515  3 Nd 3.18, 3 La 3.22
Te: 0.7554 0.2478 0.2478  2 Nd 3.18, 2 La 3.22, 1 Pm 3.23

Results
magnetic moment	0.0	μB per cell
raw formation energy	-1526	meV/atom



# 8
Crystalline CoNiAg2Sn at its relaxed geometry, computed with PBE-GGA.

a b c (Å): 4.8055 4.8055 4.6725
angles (deg): 90.00 90.00 90.00
Last column: nearest neighbours and their distance in Å.
Fractional positions:
Co: 0.0000 0.0000 0.0000  8 Ag 3.35, 4 Sn 3.40
Ni: 0.5000 0.5000 0.5000  2 Sn 2.34, 4 Ag 2.40
Ag: 0.0000 0.5000 0.5000  2 Ni 2.40
Ag: 0.5000 0.0000 0.5000  2 Ni 2.40
Sn: 0.5000 0.5000 0.0000  2 Ni 2.34

Results
magnetic moment	2.1	μB per cell



no.,total DFT energy (no corrections) (eV for the cell shown)
1,-34.216
2,-92.636
3,-9.159
4,-36.270
5,-31.219
6,-50.732
7,-81.862
8,-18.120